A | The following is a meta-GGA SCAN calculation of a PBEsol-optimized structure of Tl2CdAu, from Alexandria via LeMat-Bulk.

```
4
Lattice="3.7441 0.0000 0.0000 0.0000 4.5926 0.0000 -1.8579 0.0000 5.5013" Properties=species:S:1:pos:R:3 pbc="T T T"
Tl 0.0000 0.0000 0.0000
Tl 0.0098 2.2963 3.4000
Cd 1.8745 0.0000 2.4998
Au 1.8753 2.2963 0.8494
```

Calculated values
Calculated density   12.6 Mg/m³
SG   Pm (6)

***

B | The following is a meta-GGA SCAN calculation of a PBEsol-optimized structure of Tl2CdAu, from Alexandria via LeMat-Bulk.

```
4
Lattice="-1.6076 2.7130 5.4243 1.6076 -2.7130 5.4243 1.6076 2.7130 -5.4243" Properties=species:S:1:pos:R:3 pbc="T T T"
Tl 0.0000 0.0000 0.0000
Tl 0.0000 2.7130 2.3195
Cd 0.0000 0.0000 4.8197
Au 1.6076 0.0000 2.5193
```

Calculated values
Calculated density   12.6 Mg/m³
SG   Imm2 (44)

***

Which structure is most stable, and how do the rest compare? From most to least stable: A, B.